Below is a relaxed DySc2Ir crystal, with properties calculated at the GGA-PBE level.

abc: 3.255 3.255 8.425
angles: 90.00 90.00 90.00
Positions (direct):
Ir 0.500 0.500 0.000
Dy 0.500 0.500 0.500
Sc 0.000 0.000 0.812
Sc 0.000 0.000 0.188

ΔE_f: -0.478 eV/atom
E above lowest polymorph: 0.1150 eV/atom
SG: P4/mmm